No. 1
The following is a PBE calculation of crystalline CsPbF3 at its relaxed geometry, from Alexandria.

```
10
Lattice="3.9979 0.0000 0.0000 0.0000 6.5346 0.0000 -0.0269 0.0000 8.4520" Properties=species:S:1:pos:R:3 pbc="T T T"
Cs 0.9714 1.6337 3.0926
Cs 2.9997 4.9010 5.3594
Pb 1.0126 4.9010 0.9101
Pb 2.9585 1.6337 7.5419
F 0.9858 0.0502 7.2664
F 0.9858 3.2171 7.2664
F 1.0001 4.9010 3.2502
F 2.9709 1.6337 5.2018
F 2.9852 3.3175 1.1856
F 2.9852 6.4844 1.1856
```

Output
Mass density (g/cm3): 5.973
Energy relative to the elements, uncorrected (eV per formula unit): -12.5
SG: P2_1/m
V (Å³/cell): 221
Final energy (eV/atom): -4.5450


No. 2
The following is a PBE calculation of crystalline Cs3PbF at its relaxed geometry, from Alexandria.

```
5
Lattice="6.1044 0.0000 0.0000 0.0000 6.1044 0.0000 0.0000 0.0000 6.1044" Properties=species:S:1:pos:R:3 pbc="T T T"
Cs 0.0000 0.0000 3.0522
Cs 0.0000 3.0522 0.0000
Cs 3.0522 0.0000 0.0000
Pb 3.0522 3.0522 3.0522
F 0.0000 0.0000 0.0000
```

Output
Excess energy over the best structure of this formula in the dataset (eV per atom): 0.000
Mass density (g/cm3): 4.562
Energy relative to the elements, uncorrected (eV per formula unit): -5.2
SG: Pm-3m
V (Å³/cell): 227
Final energy (eV/atom): -2.6775


No. 3
The following is a PBE calculation of crystalline Cs3Pb4F12 at its relaxed geometry, from Alexandria.

```
19
Lattice="-4.8084 4.8084 4.8084 4.8084 -4.8084 4.8084 4.8084 4.8084 -4.8084" Properties=species:S:1:pos:R:3 pbc="T T T"
Cs 4.8084 0.0000 0.0000
Cs 0.0000 4.8084 0.0000
Cs 0.0000 0.0000 4.8084
Pb 2.4042 2.4042 -2.4042
Pb 2.4042 -2.4042 2.4042
Pb -2.4042 2.4042 2.4042
Pb 2.4042 2.4042 2.4042
F 4.8084 2.3597 -2.2413
F 2.5671 0.0000 2.4487
F 7.0497 0.0000 2.4487
F 2.4487 2.5671 0.0000
F 2.3597 -2.2413 4.8084
F 4.8084 2.3597 2.2413
F 0.0000 2.4487 2.5671
F 2.4487 7.0497 0.0000
F 2.3597 2.2413 4.8084
F -2.2413 4.8084 2.3597
F 2.2413 4.8084 2.3597
F 0.0000 2.4487 7.0497
```

Output
Mass density (g/cm3): 5.435
Energy relative to the elements, uncorrected (eV per formula unit): -46.9
SG: Im-3
V (Å³/cell): 445
Final energy (eV/atom): -4.5644


No. 4
The following is a PBE calculation of crystalline CsPdPbF6 at its relaxed geometry, from Alexandria.

```
18
Lattice="-4.0579 4.1709 5.2414 4.0579 -4.1709 5.2414 4.0579 4.1709 -5.2414" Properties=species:S:1:pos:R:3 pbc="T T T"
Cs 0.0000 2.0855 1.6378
Cs 4.0579 2.0855 3.6036
Pd 4.0579 0.0000 0.0000
Pd 0.0000 0.0000 5.2414
Pb 2.0289 2.0855 -2.6207
Pb 2.0289 -2.0855 2.6207
F 4.0579 -2.0855 3.9130
F 2.6494 0.1657 1.4003
F 5.4664 0.1657 1.4003
F 4.0579 2.0855 -0.5506
F 2.6494 4.3367 -1.4003
F 1.4085 0.1657 3.8411
F 2.6494 4.0052 1.4003
F 1.4085 -0.1657 6.6417
F 0.0000 2.0855 5.7921
F -1.4085 4.0052 3.8411
F 1.4085 4.0052 3.8411
F 0.0000 6.2564 1.3285
```

Output
Mass density (g/cm3): 5.246
Energy relative to the elements, uncorrected (eV per formula unit): -18.5
SG: Imma
V (Å³/cell): 355
Final energy (eV/atom): -4.3837


No. 5
The following is a PBE calculation of crystalline CsPmPbF6 at its relaxed geometry, from Alexandria.

```
18
Lattice="-4.1223 4.2304 5.8655 4.1223 -4.2304 5.8655 4.1223 4.2304 -5.8655" Properties=species:S:1:pos:R:3 pbc="T T T"
Cs 0.0000 2.1152 1.6452
Cs 4.1223 2.1152 4.2204
Pm 4.1223 0.0000 0.0000
Pm 0.0000 0.0000 5.8655
Pb 2.0612 2.1152 -2.9328
Pb 2.0612 -2.1152 2.9328
F 4.1223 -2.1152 4.1838
F 2.5261 0.1407 1.5790
F 5.7185 0.1407 1.5790
F 4.1223 2.1152 -0.7982
F 2.5261 4.3711 -1.5790
F 1.5962 0.1407 4.2865
F 2.5261 4.0897 1.5790
F 1.5962 -0.1407 7.4445
F 0.0000 2.1152 6.6637
F -1.5962 4.0897 4.2865
F 1.5962 4.0897 4.2865
F 0.0000 6.3456 1.6818
```

Output
Mass density (g/cm3): 4.863
Energy relative to the elements, uncorrected (eV per formula unit): -28.4
SG: Imma
V (Å³/cell): 409
Final energy (eV/atom): -5.4413


No. 6
The following is a PBE calculation of crystalline Cs2PrPb3F12 at its relaxed geometry, from Alexandria.

```
18
Lattice="4.3054 2.4857 7.3053 -4.3054 2.4857 7.3053 0.0000 -4.9714 7.3053" Properties=species:S:1:pos:R:3 pbc="T T T"
Cs 0.0000 0.0000 2.1153
Cs 0.0000 0.0000 19.8007
Pr 0.0000 0.0000 10.9580
Pb -2.1527 -1.2429 7.3053
Pb -2.1527 1.2428 14.6106
Pb 0.0000 2.4857 7.3053
F 0.0000 -2.1034 6.7681
F -1.8216 1.0517 6.7681
F -1.6404 -0.9471 9.6390
F -1.8216 -1.0517 15.1478
F 0.0000 -1.8941 12.2769
F -1.6404 0.9471 12.2769
F 1.6404 -0.9471 9.6390
F 0.0000 1.8941 9.6390
F 1.8216 1.0517 6.7681
F 1.6404 0.9471 12.2769
F 1.8216 -1.0517 15.1478
F 0.0000 2.1034 15.1478
```

Output
Mass density (g/cm3): 4.447
Energy relative to the elements, uncorrected (eV per formula unit): -49.0
SG: R-3m
V (Å³/cell): 469
Final energy (eV/atom): -4.9489


No. 7
The following is a PBE calculation of crystalline CsPtPbF6 at its relaxed geometry, from Alexandria.

```
9
Lattice="5.3855 0.0000 0.0000 0.0329 6.0059 0.0000 0.0002 2.8789 5.5776" Properties=species:S:1:pos:R:3 pbc="T T T"
Cs 0.0000 0.0000 0.0000
Pt 3.3924 5.9309 3.7447
Pb 2.8017 2.9869 1.7934
F 2.2756 4.7947 4.9569
F 2.3307 5.3202 1.8108
F 2.4210 7.5838 4.2644
F 4.3852 4.2604 3.1579
F 4.4903 7.1715 2.5989
F 4.4894 3.2241 0.2982
```

Output
Mass density (g/cm3): 5.975
Energy relative to the elements, uncorrected (eV per formula unit): -17.6
SG: P1
V (Å³/cell): 180
Final energy (eV/atom): -4.3846


No. 8
The following is a PBE calculation of crystalline CsPuPbF6 at its relaxed geometry, from Alexandria.

```
9
Lattice="6.6601 0.0000 0.0000 -3.3300 5.7678 0.0000 0.0000 0.0000 5.5228" Properties=species:S:1:pos:R:3 pbc="T T T"
Cs 0.0000 0.0000 0.0000
Pu 3.3300 1.9226 2.4727
Pb 0.0000 3.8452 2.7850
F -1.9474 3.4365 1.3782
F 2.3361 0.2503 3.6661
F 1.3276 2.3630 1.3782
F 0.6198 5.7361 1.3782
F 2.3788 3.6195 3.6661
F 5.2753 1.8979 3.6661
```

Output
Mass density (g/cm3): 5.462
Energy relative to the elements, uncorrected (eV per formula unit): -26.8
SG: P3
V (Å³/cell): 212
Final energy (eV/atom): -6.3296


No. 9
The following is a PBE calculation of crystalline Cs2RbPb2F7 at its relaxed geometry, from Alexandria.

```
12
Lattice="3.4369 -3.4453 0.0000 3.4369 3.4453 0.0000 -3.2867 0.0000 12.3410" Properties=species:S:1:pos:R:3 pbc="T T T"
Cs -0.0322 0.0000 4.5900
Cs 3.6194 0.0000 7.7510
Rb 0.0000 0.0000 0.0000
Pb 0.1268 0.0000 9.9342
Pb 3.4604 0.0000 2.4068
F 1.7870 1.8104 2.2571
F -0.0844 0.0000 7.4578
F 1.8001 1.8104 10.0839
F 3.4369 0.0000 0.0000
F 1.7870 -1.8104 2.2571
F 3.6716 0.0000 4.8832
F 1.8001 -1.8104 10.0839
```

Output
Mass density (g/cm3): 5.106
Energy relative to the elements, uncorrected (eV per formula unit): -30.5
SG: C2/m
V (Å³/cell): 292
Final energy (eV/atom): -4.4735


No. 10
The following is a PBE calculation of crystalline Cs4RbPb3F12 at its relaxed geometry, from Alexandria.

```
20
Lattice="-4.9107 4.9107 4.9107 4.9107 -4.9107 4.9107 4.9107 4.9107 -4.9107" Properties=species:S:1:pos:R:3 pbc="T T T"
Cs 2.4554 2.4554 -2.4554
Cs 2.4554 -2.4554 2.4554
Cs -2.4554 2.4554 2.4554
Cs 2.4554 2.4554 2.4554
Rb 0.0000 0.0000 0.0000
Pb 4.9107 0.0000 0.0000
Pb 0.0000 4.9107 0.0000
Pb 0.0000 0.0000 4.9107
F 2.6194 0.0000 0.0000
F 7.2021 0.0000 0.0000
F 4.9107 2.4554 0.0000
F 4.9107 0.0000 2.4554
F 0.0000 2.6194 0.0000
F 0.0000 0.0000 2.6194
F 2.4554 4.9107 0.0000
F 2.4554 0.0000 4.9107
F 0.0000 7.2021 0.0000
F 0.0000 0.0000 7.2021
F 0.0000 4.9107 2.4554
F 0.0000 2.4554 4.9107
```

Output
Mass density (g/cm3): 5.141
Energy relative to the elements, uncorrected (eV per formula unit): -50.2
SG: Im-3m
V (Å³/cell): 474
Final energy (eV/atom): -4.4068


No. 11
The following is a PBE calculation of crystalline Cs3RbPb2F9 at its relaxed geometry, from Alexandria.

```
15
Lattice="6.9913 0.0000 0.0000 -3.4956 6.0546 0.0000 0.0000 0.0000 8.4686" Properties=species:S:1:pos:R:3 pbc="T T T"
Cs 0.0000 0.0000 0.0000
Cs 0.0000 4.0364 5.4780
Cs 3.4957 2.0182 2.9906
Rb 0.0000 0.0000 4.2343
Pb 0.0000 4.0364 1.3225
Pb 3.4957 2.0182 7.1461
F -1.7478 3.0273 0.0000
F 0.0000 2.2112 2.6916
F -1.5807 4.9491 2.6916
F 1.9149 1.1056 5.7770
F 3.4956 0.0000 0.0000
F 1.7478 3.0273 0.0000
F 1.5807 4.9491 2.6916
F 5.0764 1.1056 5.7770
F 3.4957 3.8435 5.7770
```

Output
Mass density (g/cm3): 4.954
Energy relative to the elements, uncorrected (eV per formula unit): -37.9
SG: P-3m1
V (Å³/cell): 358
Final energy (eV/atom): -4.3771


No. 12
The following is a PBE calculation of crystalline CsRbPbF4 at its relaxed geometry, from Alexandria.

```
7
Lattice="-2.4204 2.4204 7.4181 2.4204 -2.4204 7.4181 2.4204 2.4204 -7.4181" Properties=species:S:1:pos:R:3 pbc="T T T"
Cs 0.0000 0.0000 0.0000
Rb 0.0000 0.0000 10.4592
Pb 0.0000 0.0000 5.1620
F 0.0000 0.0000 2.7946
F 2.4204 0.0000 4.9714
F 0.0000 0.0000 7.7215
F 0.0000 2.4204 4.9714
```

Output
Mass density (g/cm3): 4.791
Energy relative to the elements, uncorrected (eV per formula unit): -17.9
SG: I4mm
V (Å³/cell): 174
Final energy (eV/atom): -4.4131


Which of these has the lowest energy relative to the elements, uncorrected?
Cs4RbPb3F12


The lowest energy relative to the elements, uncorrected belongs to which entry?
Cs4RbPb3F12


Which of these has the lowest mass density?
Cs2PrPb3F12